# 1
Material: Be2PPt
Method: DFT, PBE
State: optimized geometry

## Properties
* ΔE_f: -1.36 eV per formula unit

Cell lengths 4.039, 2.814, 8.630 Å; angles 90.00, 90.00, 90.00 degrees
Space group Amm2 (No. 38)
One atom of each set of equivalent atoms:
Be 0.000 0.000 0.000 x2
Be 0.500 0.000 0.427 x2
P 0.000 0.000 0.295 x2
Pt 0.500 0.000 0.137 x2


# 2
Material: BePPt
Method: DFT, PBE
State: optimized geometry

## Properties
* energy above the lowest structure with this stoichiometry: 0.220 eV/atom
* ΔE_f: -0.51 eV per formula unit

Cell lengths 3.356, 3.356, 6.918 Å; angles 90.00, 90.00, 90.00 degrees
Space group I4mm (No. 107)
One atom of each set of equivalent atoms:
Be 0.000 0.000 0.000 x2
P 0.000 0.000 0.314 x2
Pt 0.000 0.000 0.656 x2


# 3
Material: BePPt3
Method: DFT, PBE
State: optimized geometry

## Properties
* energy above the lowest structure with this stoichiometry: 0.000 eV/atom
* ΔE_f: 1.47 eV per formula unit

Cell lengths 4.253, 4.253, 4.253 Å; angles 90.00, 90.00, 90.00 degrees
Space group Pm-3m (No. 221)
One atom of each set of equivalent atoms:
Be 0.000 0.000 0.000 x1
P 0.500 0.500 0.500 x1
Pt 0.000 0.000 0.500 x3


How do the records compare in E? In the order shown, they have -5.07; -5.23; -5.16 eV/atom.